[1]
The following is a PBE-GGA calculation of an optimized crystal structure of ZnPdPt3, from Alexandria.

Results
The energy above the lowest structure with this stoichiometry comes out at 0.000 eV/atom. For the raw total energy, the calculation gives -5.1227 eV per atom. The density of states at the Fermi level comes out at 1.4616 states/eV/atom. For the total magnetization, the calculation gives 0.0 μB/cell. The formation energy comes out at -205 meV/atom.

Cell: 4.7820 4.6239 7.3081 Å, 90.00 108.13 90.00°
Closest atoms and distances in Å follow each position.
Fractional coordinates of all 10 atoms:
Zn 0.0252 0.2500 0.3886  7 Pt 2.67-2.84, 3 Pd 2.76-2.81, 2 Zn 2.88
Zn 0.9748 0.7500 0.6114  7 Pt 2.67-2.84, 3 Pd 2.76-2.81, 2 Zn 2.88
Pd 0.2323 0.2500 0.7930  3 Zn 2.76-2.81, 9 Pt 2.76-2.86
Pd 0.7677 0.7500 0.2070  3 Zn 2.76-2.81, 9 Pt 2.76-2.86
Pt 0.1720 0.7500 0.0076  1 Zn 2.75, 4 Pd 2.76-2.86, 7 Pt 2.79-2.82
Pt 0.3626 0.7500 0.4088  6 Pt 2.70-2.83, 4 Zn 2.71-2.84, 2 Pd 2.77-2.78
Pt 0.4245 0.2500 0.2023  2 Zn 2.67-2.77, 7 Pt 2.70-2.83, 3 Pd 2.83-2.84
Pt 0.5755 0.7500 0.7977  2 Zn 2.67-2.77, 7 Pt 2.70-2.83, 3 Pd 2.83-2.84
Pt 0.6374 0.2500 0.5912  6 Pt 2.70-2.83, 4 Zn 2.71-2.84, 2 Pd 2.77-2.78
Pt 0.8280 0.2500 0.9924  1 Zn 2.75, 4 Pd 2.76-2.86, 7 Pt 2.79-2.82



[2]
The following is a PBE-GGA calculation of an optimized crystal structure of Zn4PdPt15, from Alexandria.

Results
For the raw total energy, the calculation gives -5.3240 eV per atom. The density of states at the Fermi level comes out at 0.9866 states/eV/atom. For the total magnetization, the calculation gives 0.0 μB/cell. The formation energy comes out at -279 meV/atom.

Cell: 3.9226 3.9226 19.8273 Å, 90.00 90.00 90.00°
Closest atoms and distances in Å follow each position.
Fractional coordinates of all 20 atoms:
Zn 0.0000 0.0000 0.0993  12 Pt 2.77-2.79
Zn 0.0000 0.0000 0.2986  12 Pt 2.77-2.78
Zn 0.0000 0.0000 0.7014  12 Pt 2.77-2.78
Zn 0.0000 0.0000 0.9007  12 Pt 2.77-2.79
Pd 0.0000 0.0000 0.5000  12 Pt 2.77-2.82
Pt 0.0000 0.5000 0.0000  8 Pt 2.77-2.79, 4 Zn 2.78
Pt 0.0000 0.5000 0.1994  8 Pt 2.77-2.78, 4 Zn 2.78-2.79
Pt 0.0000 0.5000 0.3976  8 Pt 2.77-2.82, 2 Zn 2.77, 2 Pd 2.82
Pt 0.0000 0.5000 0.6024  8 Pt 2.77-2.82, 2 Zn 2.77, 2 Pd 2.82
Pt 0.0000 0.5000 0.8006  8 Pt 2.77-2.78, 4 Zn 2.78-2.79
Pt 0.5000 0.0000 0.0000  8 Pt 2.77-2.79, 4 Zn 2.78
Pt 0.5000 0.0000 0.1994  8 Pt 2.77-2.78, 4 Zn 2.78-2.79
Pt 0.5000 0.0000 0.3976  8 Pt 2.77-2.82, 2 Zn 2.77, 2 Pd 2.82
Pt 0.5000 0.0000 0.6024  8 Pt 2.77-2.82, 2 Zn 2.77, 2 Pd 2.82
Pt 0.5000 0.0000 0.8006  8 Pt 2.77-2.78, 4 Zn 2.78-2.79
Pt 0.5000 0.5000 0.0999  4 Zn 2.77, 8 Pt 2.78-2.79
Pt 0.5000 0.5000 0.2988  8 Pt 2.77-2.78, 4 Zn 2.77
Pt 0.5000 0.5000 0.5000  4 Pd 2.77, 8 Pt 2.82
Pt 0.5000 0.5000 0.7012  8 Pt 2.77-2.78, 4 Zn 2.77
Pt 0.5000 0.5000 0.9001  4 Zn 2.77, 8 Pt 2.78-2.79



[3]
The following is a PBE-GGA calculation of an optimized crystal structure of Zn12Pd5Pt2, from Alexandria.

Results
For the raw total energy, the calculation gives -3.0843 eV per atom. The density of states at the Fermi level comes out at 0.2522 states/eV/atom. For the total magnetization, the calculation gives 0.0 μB/cell. The formation energy comes out at -277 meV/atom.

Cell: 8.7778 8.7778 6.9815 Å, 108.40 108.40 36.90°
Closest atoms and distances in Å follow each position.
Fractional coordinates of all 19 atoms:
Zn 0.0223 0.0223 0.2081  2 Pt 2.59, 3 Zn 2.70-2.75
Zn 0.0721 0.6003 0.3162  2 Zn 2.57-2.62, 4 Pd 2.60-2.71, 1 Pt 2.60
Zn 0.1105 0.6195 0.9205  4 Pd 2.55-2.72, 4 Zn 2.63-2.83
Zn 0.3805 0.8895 0.0795  4 Pd 2.55-2.72, 4 Zn 2.63-2.83
Zn 0.3955 0.3955 0.6340  4 Zn 2.57-2.63, 2 Pd 2.57-2.78, 2 Pt 2.63
Zn 0.3997 0.9279 0.6838  2 Zn 2.57-2.62, 4 Pd 2.60-2.71, 1 Pt 2.60
Zn 0.6003 0.0721 0.3162  2 Zn 2.57-2.62, 4 Pd 2.60-2.71, 1 Pt 2.60
Zn 0.6045 0.6045 0.3660  4 Zn 2.57-2.63, 2 Pd 2.57-2.78, 2 Pt 2.63
Zn 0.6195 0.1105 0.9205  4 Pd 2.55-2.72, 4 Zn 2.63-2.83
Zn 0.8895 0.3805 0.0795  4 Pd 2.55-2.72, 4 Zn 2.63-2.83
Zn 0.9279 0.3997 0.6838  2 Zn 2.57-2.62, 4 Pd 2.60-2.71, 1 Pt 2.60
Zn 0.9777 0.9777 0.7919  2 Pt 2.59, 3 Zn 2.70-2.75
Pd 0.2213 0.2213 0.4236  7 Zn 2.66-2.78
Pd 0.2515 0.2515 0.0072  8 Zn 2.55-2.60, 2 Pd 2.78
Pd 0.5000 0.5000 0.0000  6 Zn 2.56-2.57
Pd 0.7485 0.7485 0.9928  8 Zn 2.55-2.60, 2 Pd 2.78
Pd 0.7787 0.7787 0.5764  7 Zn 2.66-2.78
Pt 0.2504 0.7496 0.5000  6 Zn 2.59-2.63, 2 Pt 2.77-2.78
Pt 0.7496 0.2504 0.5000  6 Zn 2.59-2.63, 2 Pt 2.77-2.78



[4]
The following is a PBE-GGA calculation of an optimized crystal structure of ZnPd2Pt8, from Alexandria.

Results
The energy above the lowest structure with this stoichiometry comes out at 0.000 eV/atom. For the raw total energy, the calculation gives -5.6008 eV per atom. The density of states at the Fermi level comes out at 1.4188 states/eV/atom. For the total magnetization, the calculation gives 0.0 μB/cell. The formation energy comes out at -148 meV/atom.

Cell: 7.4020 7.4020 6.2460 Å, 104.61 104.61 30.88°
Closest atoms and distances in Å follow each position.
Fractional coordinates of all 11 atoms:
Zn 0.0000 0.0000 0.0000  12 Pt 2.73-2.79
Pd 0.2758 0.2758 0.3667  10 Pt 2.77-2.86, 2 Pd 2.80
Pd 0.7242 0.7242 0.6333  10 Pt 2.77-2.86, 2 Pd 2.80
Pt 0.0901 0.0901 0.4426  1 Zn 2.73, 8 Pt 2.76-2.87, 3 Pd 2.79-2.81
Pt 0.1803 0.1803 0.9113  8 Pt 2.76-2.87, 1 Zn 2.77, 3 Pd 2.80-2.81
Pt 0.3665 0.3665 0.8247  7 Pt 2.75-2.85, 2 Zn 2.76, 3 Pd 2.81-2.86
Pt 0.4550 0.4550 0.2726  9 Pt 2.75-2.84, 1 Pd 2.77, 2 Zn 2.79
Pt 0.5450 0.5450 0.7274  9 Pt 2.75-2.84, 1 Pd 2.77, 2 Zn 2.79
Pt 0.6335 0.6335 0.1753  7 Pt 2.75-2.85, 2 Zn 2.76, 3 Pd 2.81-2.86
Pt 0.8197 0.8197 0.0887  8 Pt 2.76-2.87, 1 Zn 2.77, 3 Pd 2.80-2.81
Pt 0.9099 0.9099 0.5574  1 Zn 2.73, 8 Pt 2.76-2.87, 3 Pd 2.79-2.81



[5]
The following is a PBE-GGA calculation of an optimized crystal structure of Zn5Pd6Pt, from Alexandria.

Results
For the raw total energy, the calculation gives -4.1386 eV per atom. The density of states at the Fermi level comes out at 0.1927 states/eV/atom. For the total magnetization, the calculation gives 0.0 μB/cell. The formation energy comes out at -508 meV/atom.

Cell: 7.3196 7.3196 7.3196 Å, 147.19 123.01 67.34°
Closest atoms and distances in Å follow each position.
Fractional coordinates of all 12 atoms:
Zn 0.0000 0.0000 0.0000  8 Pd 2.60-2.64
Zn 0.1746 0.6746 0.5000  8 Pd 2.63-2.65
Zn 0.3488 0.3488 0.0000  8 Pd 2.66-2.79, 2 Pt 2.77, 2 Zn 2.96
Zn 0.6512 0.6512 0.0000  8 Pd 2.66-2.79, 2 Pt 2.77, 2 Zn 2.96
Zn 0.8254 0.3254 0.5000  8 Pd 2.63-2.65
Pd 0.0635 0.8299 0.2336  7 Zn 2.63-2.79, 1 Pt 2.79, 4 Pd 2.85-2.93
Pd 0.2258 0.5000 0.7258  6 Zn 2.60-2.66, 2 Pt 2.82
Pd 0.4036 0.1701 0.2336  7 Zn 2.63-2.79, 1 Pt 2.79, 4 Pd 2.85-2.93
Pd 0.5964 0.8299 0.7664  7 Zn 2.63-2.79, 1 Pt 2.79, 4 Pd 2.85-2.93
Pd 0.7742 0.5000 0.2742  6 Zn 2.60-2.66, 2 Pt 2.82
Pd 0.9365 0.1701 0.7664  7 Zn 2.63-2.79, 1 Pt 2.79, 4 Pd 2.85-2.93
Pt 0.5000 0.0000 0.5000  4 Zn 2.77, 8 Pd 2.79-2.82



[6]
The following is a PBE-GGA calculation of an optimized crystal structure of Zn2Pd5Pt5, from Alexandria.

Results
The energy above the lowest structure with this stoichiometry comes out at 0.000 eV/atom. For the raw total energy, the calculation gives -5.1227 eV per atom. The density of states at the Fermi level comes out at 1.1648 states/eV/atom. For the total magnetization, the calculation gives 0.0 μB/cell. The formation energy comes out at -230 meV/atom.

Cell: 6.1922 6.1922 8.7750 Å, 114.73 114.73 37.21°
Closest atoms and distances in Å follow each position.
Fractional coordinates of all 12 atoms:
Zn 0.0825 0.0825 0.2499  7 Pt 2.75-2.80, 5 Pd 2.75-2.77
Zn 0.9175 0.9175 0.7501  7 Pt 2.75-2.80, 5 Pd 2.75-2.77
Pd 0.0000 0.0000 0.5000  2 Zn 2.76, 8 Pt 2.78-2.79, 2 Pd 2.83
Pd 0.1644 0.1644 0.9985  2 Zn 2.75-2.77, 5 Pt 2.77-2.83, 5 Pd 2.79-2.81
Pd 0.2548 0.2548 0.7514  6 Pt 2.74-2.84, 2 Zn 2.75, 4 Pd 2.79-2.83
Pd 0.7452 0.7452 0.2486  6 Pt 2.74-2.84, 2 Zn 2.75, 4 Pd 2.79-2.83
Pd 0.8356 0.8356 0.0015  2 Zn 2.75-2.77, 5 Pt 2.77-2.83, 5 Pd 2.79-2.81
Pt 0.3323 0.3323 0.4981  5 Pd 2.75-2.79, 4 Pt 2.77-2.79, 3 Zn 2.78-2.80
Pt 0.4197 0.4197 0.2499  3 Pt 2.74-2.79, 2 Zn 2.75, 7 Pd 2.78-2.84
Pt 0.5000 0.5000 0.0000  6 Pd 2.74-2.77, 2 Pt 2.74, 4 Zn 2.79
Pt 0.5803 0.5803 0.7501  3 Pt 2.74-2.79, 2 Zn 2.75, 7 Pd 2.78-2.84
Pt 0.6677 0.6677 0.5019  5 Pd 2.75-2.79, 4 Pt 2.77-2.79, 3 Zn 2.78-2.80